Ca2MnAs: relaxed, PBE-GGA.

The space group is F-43m (No. 216) and the conventional cell measures 6.980, 6.980 and 6.980 Å, with angles of 90.00, 90.00 and 90.00 degrees. The inequivalent atoms are Ca at (0.000, 0.000, 0.000), Ca at (0.250, 0.250, 0.250), Mn at (0.000, 0.000, 0.500) and As at (0.250, 0.250, 0.750).

The calculation puts the formation energy at 0.0980 eV per atom. The calculation puts the energy at -69.72 eV/cell. Its crystal system is cubic. For the total magnetization, the calculation gives 2.4 μB/f.u.

---

CdGeAsSe2: relaxed, PBE-GGA.

The space group is P4/mmm (No. 123) and the conventional cell measures 5.001, 5.001 and 5.059 Å, with angles of 90.00, 90.00 and 90.00 degrees. The inequivalent atoms are Cd at (0.000, 0.000, 0.000), Ge at (0.500, 0.500, 0.500), As at (0.500, 0.500, 0.000) and Se at (0.000, 0.500, 0.500).

Its uncorrected formation energy is 0.43 eV per atom. The calculation puts the energy at -15.02 eV/cell. The energy above the most stable polymorph in this dataset is 0.0 meV/atom. Its crystal system is tetragonal. For the total magnetization, the calculation gives 0.0 μB/f.u.